(1)
DFT (PBE-GGA) results for a relaxed structure of I3O8.

- E: -184.40 eV for the cell shown
- Polymorph energy (0 for the lowest one): 0.00 kcal/mol of atoms
- Raw formation energy: -162 meV per atom
- V: 16.79 Å³/atom
- Total magnetization: 0.00 μB per atom

Geometry as extended XYZ:
```
44
Lattice="7.485 0.000 0.000 -0.626 7.779 0.000 -1.367 -0.151 12.688" Properties=species:S:1:pos:R:3 pbc="T T T"
I -0.413 1.962 4.244
I 0.542 5.379 1.783
I 0.484 5.860 5.414
I 1.253 1.206 7.668
I 1.268 2.122 10.992
I 1.147 5.854 11.102
I 4.346 1.775 1.586
I 4.224 5.507 1.696
I 4.239 6.423 5.019
I 5.009 1.768 7.274
I 4.951 2.249 10.905
I 5.905 5.666 8.444
O -0.331 0.338 7.982
O -0.006 3.705 3.935
O -0.542 1.546 11.144
O -0.755 5.991 10.096
O 0.028 5.416 7.497
O 0.582 2.388 6.462
O 0.927 6.581 0.516
O 0.779 6.446 3.292
O 0.554 3.952 11.386
O 0.976 2.600 9.079
O 0.962 7.601 5.775
O 2.771 1.946 0.195
O 1.880 0.466 10.450
O 2.491 4.650 1.818
O 2.119 5.137 5.587
O 3.212 1.933 2.932
O 2.280 5.696 9.756
O 3.373 2.491 7.101
O 3.002 2.978 10.870
O 3.613 7.163 2.238
O 2.721 5.683 12.492
O 4.530 0.027 6.913
O 4.516 5.029 3.608
O 4.938 3.676 1.301
O 4.713 1.182 9.396
O 4.565 1.047 12.172
O 4.910 5.240 6.226
O 5.465 2.213 5.191
O 6.247 1.638 2.592
O 6.035 6.082 1.544
O 5.498 3.923 8.753
O 5.824 7.291 4.705
```



(2)
DFT (PBE-GGA) results for a relaxed structure of IO6.

- E: -101.01 eV for the cell shown
- Raw formation energy: 864 meV per atom
- V: 17.19 Å³/atom
- Total magnetization: 0.72 μB per atom

Geometry as extended XYZ:
```
28
Lattice="5.304 0.000 0.000 0.000 19.001 0.000 -2.009 0.000 4.776" Properties=species:S:1:pos:R:3 pbc="T T T"
I 0.640 2.725 0.835
I -0.364 6.775 3.223
I 3.659 12.225 1.553
I 2.654 16.276 3.941
O -0.751 10.906 2.644
O 0.254 17.595 0.256
O -0.968 3.719 4.004
O 0.036 5.781 1.616
O 0.058 12.986 1.969
O -0.947 15.515 4.357
O 0.105 1.383 2.083
O -0.900 8.117 4.471
O 1.133 3.974 2.156
O 0.129 5.527 4.543
O 2.224 1.751 1.013
O 1.219 7.749 3.401
O 2.075 11.252 1.375
O 1.070 17.249 3.763
O 3.166 13.474 0.232
O 2.161 15.027 2.620
O 4.194 10.883 0.305
O 3.190 17.618 2.693
O 4.241 3.486 0.419
O 3.237 6.015 2.807
O 3.258 13.219 3.160
O 4.263 15.281 0.772
O 3.040 1.405 4.520
O 4.045 8.095 2.132
```



(3)
DFT (PBE-GGA) results for a relaxed structure of IO.

- Density of states at the Fermi level: 7.8 states/eV per cell
- E: -36.91 eV for the cell shown
- Polymorph energy (0 for the lowest one): 5.15 kcal/mol of atoms
- Raw formation energy: 179 meV per atom
- V: 26.35 Å³/atom
- Total magnetization: 0.00 μB per atom

Geometry as extended XYZ:
```
12
Lattice="10.795 0.000 0.000 -5.397 9.349 0.000 0.000 0.000 3.133" Properties=species:S:1:pos:R:3 pbc="T T T"
I -2.559 6.964 0.783
I 0.646 3.651 0.783
I 3.484 1.266 2.350
I 1.913 8.082 0.783
I 4.752 5.698 2.350
I 7.956 2.384 2.350
O -1.230 4.026 0.783
O -1.296 8.401 0.783
O 2.872 3.078 2.350
O 2.525 6.271 0.783
O 6.693 0.948 2.350
O 6.627 5.322 2.350
```



(4)
DFT (PBE-GGA) results for a relaxed structure of IO3.

- Density of states at the Fermi level: 2.4 states/eV per cell
- E: -65.17 eV for the cell shown
- Polymorph energy (0 for the lowest one): 2.49 kcal/mol of atoms
- Raw formation energy: 33 meV per atom
- V: 13.25 Å³/atom
- Total magnetization: 0.00 μB per atom

Geometry as extended XYZ:
```
16
Lattice="4.740 0.000 0.000 0.000 5.124 0.000 0.000 0.000 8.724" Properties=species:S:1:pos:R:3 pbc="T T T"
I 1.145 1.103 2.919
I 1.225 4.021 7.281
I 3.515 1.459 5.805
I 3.596 3.665 1.443
O 0.029 0.407 1.568
O 0.070 0.377 7.317
O 0.070 0.490 4.369
O 2.300 4.635 0.007
O 2.300 4.747 2.955
O 2.342 4.717 5.930
O 2.399 2.155 7.156
O 2.440 2.073 4.356
O 2.441 2.185 1.407
O 4.670 2.939 5.769
O 4.670 3.052 8.718
O 4.712 2.970 2.794
```